Run one
VS2NO: optimized geometry, PBE+U.

Lattice parameters (Å, degrees): 3.991 3.991 3.816 90.00 90.00 90.00
Element x y z (fractional)
V (0.000, 0.000, 0.000)
S (0.000, 0.500, 0.500)
S (0.500, 0.000, 0.500)
N (0.500, 0.500, 0.000)
O (0.500, 0.500, 0.500)

Computed properties:
**Space group**: P4/mmm, No. 123
**Magnetic moment**: 0.2 Bohr magnetons per cell

=====

Run two
VS2NO: optimized geometry, PBE+U.

Lattice parameters (Å, degrees): 4.586 4.586 3.704 90.00 90.00 90.00
Element x y z (fractional)
V (0.000, 0.000, 0.000)
S (0.000, 0.500, 0.000)
S (0.500, 0.000, 0.000)
N (0.000, 0.000, 0.500)
O (0.500, 0.500, 0.500)

Computed properties:
**Space group**: P4/mmm, No. 123
**Magnetic moment**: 1.2 Bohr magnetons per cell

=====

Run three
VS2NO: optimized geometry, PBE+U.

Lattice parameters (Å, degrees): 4.730 4.730 3.613 90.00 90.00 90.00
Element x y z (fractional)
V (0.000, 0.000, 0.000)
S (0.000, 0.500, 0.000)
S (0.500, 0.000, 0.000)
N (0.500, 0.500, 0.500)
O (0.000, 0.000, 0.500)

Computed properties:
**Space group**: P4/mmm, No. 123
**Magnetic moment**: 2.0 Bohr magnetons per cell

=====

The most stable structure shown above is run three; the least stable is run one.